VASP calculation (SCAN) on a PBEsol-optimized structure of CaTa2Au.

Geometry as POSCAR:
```
CaTa2Au
1.0
-2.007 1.150 1.890
-1.342 -4.467 1.293
5.473 1.681 2.428
Ta Au Ca
2 1 1
Direct
0.779 0.779 0.558
0.221 0.221 0.442
0.500 0.000 0.000
0.000 0.500 0.000
```

Values from the calculation:
DOS at the Fermi energy in states/eV/f.u.: 3.39
Total moment in Bohr magnetons per cell: 0.000
Energy relative to the elements in eV per atom: 0.090
Theoretical density in g/cm3: 12.44

***

VASP calculation (SCAN) on a PBEsol-optimized structure of CaTaAu.

Geometry as POSCAR:
```
CaTaAu
1.0
4.644 0.000 0.000
2.322 4.022 0.000
2.322 1.341 3.792
Ta Ca Au
1 1 1
Direct
0.000 0.000 0.000
0.250 0.250 0.250
0.500 0.500 0.500
```

Values from the calculation:
DOS at the Fermi energy in states/eV/f.u.: 6.20
Total moment in Bohr magnetons per cell: 2.590
Energy relative to the elements in eV per atom: 1.382
Theoretical density in g/cm3: 9.80

***

VASP calculation (SCAN) on a PBEsol-optimized structure of CaTaAu3.

Geometry as POSCAR:
```
CaTaAu3
1.0
-0.404 -2.862 -3.971
-3.251 -2.823 2.365
-3.660 2.823 -1.662
Ta Au Ca
1 3 1
Direct
0.500 0.500 0.500
0.000 0.000 0.500
0.000 0.500 0.000
0.500 0.000 0.000
0.000 0.000 0.000
```

Values from the calculation:
DOS at the Fermi energy in states/eV/f.u.: 2.94
Total moment in Bohr magnetons per cell: 2.465
Energy relative to the elements in eV per atom: 1.321
Theoretical density in g/cm3: 11.38